VASP calculation (PBE) on crystalline AcHgB2O6 at its relaxed geometry.

Cell: 6.9572 6.9572 7.7486 Å, 107.78 107.78 104.67°
Atoms (fractional coordinates):
Ac  0.0757  0.9243  0.7500
Ac  0.9243  0.0757  0.2500
Hg  0.4002  0.5998  0.2500
Hg  0.5998  0.4002  0.7500
B  0.1039  0.4066  0.7906
B  0.4066  0.1039  0.2906
B  0.5934  0.8961  0.7094
B  0.8961  0.5934  0.2094
O  0.0243  0.2215  0.6171
O  0.0387  0.5746  0.7916
O  0.2215  0.0243  0.1171
O  0.2476  0.3912  0.9522
O  0.3912  0.2476  0.4522
O  0.4254  0.9613  0.7084
O  0.5746  0.0387  0.2916
O  0.6088  0.7524  0.5478
O  0.7524  0.6088  0.0478
O  0.7785  0.9757  0.8829
O  0.9613  0.4254  0.2084
O  0.9757  0.7785  0.3829

Output
**Raw formation energy**: -2.0943 eV per atom